No. 1
Computed, not measured: a geometry-optimized PaTaAl2O8 structure at the PBE level of DFT.

Its total energy is -104.7 eV/cell. As for the formation energy (no corrections): -3.020 eV/atom. The calculation puts the density of states at the Fermi level at 0.0000 states/eV per atom. For the theoretical density, the calculation gives 7.2 g cm⁻³.

Cell: 4.614 4.614 6.466 Å, 90.00 90.00 90.90°
Element x y z (fractional)
Pa  0.000  0.000  0.000
Ta  0.000  0.000  0.500
Al  0.500  0.500  0.270
Al  0.500  0.500  0.730
O  0.208  0.208  0.273
O  0.208  0.208  0.727
O  0.306  0.694  0.500
O  0.319  0.681  0.000
O  0.681  0.319  0.000
O  0.694  0.306  0.500
O  0.792  0.792  0.273
O  0.792  0.792  0.727

***

No. 2
Computed, not measured: a geometry-optimized CeHfBr structure at the PBE level of DFT.

Its total energy is -38.1 eV/cell. As for the formation energy (no corrections): -0.493 eV/atom. The calculation puts the density of states at the Fermi level at 2.0404 states/eV per atom. For the theoretical density, the calculation gives 8.9 g cm⁻³.

Cell: 14.632 14.632 14.632 Å, 13.52 13.52 13.52°
Element x y z (fractional)
Ce  0.000  0.000  0.000
Ce  0.110  0.110  0.110
Hf  0.225  0.225  0.225
Hf  0.505  0.505  0.505
Br  0.386  0.386  0.386
Br  0.611  0.611  0.611

***

No. 3
Computed, not measured: a geometry-optimized BaTa2In structure at the PBE level of DFT.

As for the energy above the most stable polymorph in this dataset: 0.462 eV per atom. The energy of formation from the pure elements comes out at 81.6 kJ per mole of atoms. Its total energy is -50.0 eV/cell. The calculation puts the density of states at the Fermi level at 1.2068 states/eV per atom. For the theoretical density, the calculation gives 10.3 g cm⁻³.

Cell: 2.951 5.717 11.738 Å, 90.00 90.00 90.00°
Element x y z (fractional)
Ba  0.000  0.000  0.000
Ba  0.500  0.500  0.500
Ta  0.000  0.500  0.222
Ta  0.000  0.500  0.778
Ta  0.500  0.000  0.278
Ta  0.500  0.000  0.722
In  0.000  0.000  0.500
In  0.500  0.500  0.000

***

No. 4
Computed, not measured: a geometry-optimized Pr2SiH structure at the PBE level of DFT.

As for the energy above the most stable polymorph in this dataset: 0.107 eV per atom. Its total energy is -58.2 eV/cell. The calculation puts the density of states at the Fermi level at 0.6294 states/eV per atom. For the theoretical density, the calculation gives 4.1 g cm⁻³.

Cell: 4.378 4.378 22.975 Å, 90.00 90.00 120.00°
Element x y z (fractional)
Pr  0.000  0.000  0.100
Pr  0.000  0.000  0.900
Pr  0.333  0.667  0.567
Pr  0.333  0.667  0.766
Pr  0.667  0.333  0.234
Pr  0.667  0.333  0.433
Si  0.000  0.000  0.500
Si  0.333  0.667  0.167
Si  0.667  0.333  0.833
H  0.000  0.000  0.000
H  0.333  0.667  0.667
H  0.667  0.333  0.333